TaZnOs, relaxed, DFT GGA-PBE; M_tot = 0.000 μB per atom; space group = No. 44; DFT formation energy = -0.2 eV/f.u.; distance to the lowest polymorph of the same formula = 0.00 eV/f.u.; calculated total energy = -24.6 eV/cell
1.0
-1.528 1.805 4.235
1.528 -1.805 4.235
1.528 1.805 -4.235
Ta Zn Os
1 1 1
direct
0.000 0.000 0.000 Ta
0.676 0.676 0.000 Zn
0.341 0.341 0.000 Os